w.
Dy2Er3Lu2Te2Pd2 | PBE | optimized geometry

Unit cell a=3.927 b=15.582 c=9.533 alpha=90.00 beta=90.00 gamma=90.00
Space group Imm2 (No. 44)
Symmetry-distinct sites (fractional):
1 Dy 0.000 0.144 0.000
2 Er 0.000 0.182 0.638
3 Er 0.000 0.500 0.263
4 Lu 0.000 0.369 0.848
5 Te 0.000 0.000 0.496
6 Te 0.000 0.500 0.606
7 Pd 0.000 0.261 0.332

x.
Dy2Er3Lu2Te2Pd2 | PBE | optimized geometry

Unit cell a=3.925 b=15.539 c=9.547 alpha=90.00 beta=90.00 gamma=90.00
Space group Imm2 (No. 44)
Symmetry-distinct sites (fractional):
1 Dy 0.000 0.145 0.000
2 Er 0.000 0.370 0.848
3 Er 0.000 0.500 0.264
4 Lu 0.000 0.182 0.639
5 Te 0.000 0.000 0.500
6 Te 0.000 0.500 0.603
7 Pd 0.000 0.263 0.330

Which one is most stable, and which one is least stable? x is the most stable of them, while w is the least stable.